Entry 1:
A geometry-optimized NbBi2Os2 structure, computed with PBE-GGA.

Properties
- Energy above the lowest structure with this stoichiometry: 0.067 eV per atom
- Energy of formation from the pure elements: 103.1 kJ per mole of atoms

Cell lengths 7.9536, 7.9536, 3.1423 Å; angles 90.00, 90.00, 90.00 degrees
Space group P4/mbm (No. 127)
Symmetry-distinct sites (fractional):
Nb 0.0000 0.0000 0.0000 x2
Bi 0.1502 0.3498 0.0000 x4
Os 0.1501 0.6501 0.5000 x4

---

Entry 2:
A geometry-optimized LiNi2HgH structure, computed with PBE-GGA.

Properties
- Raw total energy: -0.1305 hartree per atom

Cell lengths 3.6907, 3.6907, 4.0525 Å; angles 90.00, 90.00, 90.00 degrees
Space group P4/mmm (No. 123)
Symmetry-distinct sites (fractional):
Li 0.0000 0.0000 0.0000 x1
Ni 0.0000 0.5000 0.5000 x2
Hg 0.5000 0.5000 0.0000 x1
H 0.0000 0.0000 0.5000 x1

---

Entry 3:
A geometry-optimized GdHoS2 structure, computed with PBE-GGA.

Properties
- Formation energy from raw total energies: -2.0283 eV/atom

Cell lengths 3.9252, 3.9252, 19.1929 Å; angles 90.00, 90.00, 120.00 degrees
Space group R-3m (No. 166, hexagonal axes)
Symmetry-distinct sites (fractional):
Gd 0.0000 0.0000 0.0000 x3
Ho 0.0000 0.0000 0.5000 x3
S 0.0000 0.0000 0.2479 x6

---

Entry 4:
A geometry-optimized TcSNO2 structure, computed with PBE-GGA.

Properties
- Formation energy from raw total energies: 0.8580 eV/atom

Cell lengths 3.5205, 3.5205, 4.3242 Å; angles 90.00, 90.00, 90.00 degrees
Space group P4/mmm (No. 123)
Symmetry-distinct sites (fractional):
Tc 0.0000 0.0000 0.0000 x1
S 0.5000 0.5000 0.5000 x1
N 0.5000 0.5000 0.0000 x1
O 0.0000 0.5000 0.5000 x2

---

Entry 5:
A geometry-optimized Cr2SbAs structure, computed with PBE-GGA.

Properties
- Formation energy from raw total energies: 0.0047 eV/atom

Cell lengths 3.7625, 6.6043, 5.8351 Å; angles 90.00, 90.00, 90.00 degrees
Space group Pmc2_1 (No. 26)
Symmetry-distinct sites (fractional):
Cr 0.0000 0.0290 0.0000 x2
Cr 0.5000 0.4491 0.0054 x2
Sb 0.0000 0.3328 0.7058 x2
As 0.5000 0.1619 0.2783 x2

---

Entry 6:
A geometry-optimized HfHgO structure, computed with PBE-GGA.

Properties
- Formation energy from raw total energies: -1.4462 eV/atom

Cell lengths 3.5079, 18.6626, 3.6732 Å; angles 90.00, 90.00, 90.00 degrees
Space group Cmcm (No. 63)
Symmetry-distinct sites (fractional):
Hf 0.0000 0.1878 0.2500 x4
Hg 0.0000 0.4361 0.7500 x4
O 0.0000 0.2422 0.7500 x4

---

Entry 7:
A geometry-optimized ZrBrCl structure, computed with PBE-GGA.

Properties
- Formation energy from raw total energies: -1.3561 eV/atom

Cell lengths 8.0937, 6.8354, 5.9253 Å; angles 90.00, 106.31, 90.00 degrees
Space group P2_1/c (No. 14)
Symmetry-distinct sites (fractional):
Zr 0.0018 0.1253 0.2523 x4
Br 0.2532 0.1209 0.0137 x4
Cl 0.2265 0.6275 0.0032 x4

---

Entry 8:
A geometry-optimized Zn5Cu3 structure, computed with PBE-GGA.

Properties
- Energy above the lowest structure with this stoichiometry: 0.014 eV per atom
- Energy of formation from the pure elements: -5.2 kJ per mole of atoms

Cell lengths 6.4064, 8.2559, 4.0642 Å; angles 90.00, 90.00, 90.00 degrees
Space group Cmmm (No. 65)
Symmetry-distinct sites (fractional):
Zn 0.0000 0.0000 0.0000 x2
Zn 0.2387 0.5000 0.5000 x4
Zn 0.2500 0.2500 0.0000 x4
Cu 0.0000 0.2461 0.5000 x4
Cu 0.0000 0.5000 0.0000 x2